1.
Material: K2HfTaPd
Method: DFT, PBE-GGA
State: optimized geometry

The space group is P4/mmm (No. 123) and the conventional cell measures 6.4269, 6.4269 and 4.9645 Å, with angles of 90.00, 90.00 and 90.00 degrees. Symmetry generates all atoms from K at (0.0000, 0.5000, 0.0000), Hf at (0.0000, 0.0000, 0.0000), Ta at (0.0000, 0.0000, 0.5000) and Pd at (0.5000, 0.5000, 0.5000).

Its spin magnetization is 2.09 μB per formula unit. Its formation energy is 1.887 eV per atom. The value obtained for the total energy is -19.76 eV/f.u.



2.
Material: K3Hf2Te6Pd
Method: DFT, PBE-GGA
State: optimized geometry

The space group is C2/m (No. 12) and the conventional cell measures 7.4191, 12.7995 and 8.4758 Å, with angles of 90.00, 107.05 and 90.00 degrees. Symmetry generates all atoms from K at (0.0000, 0.0000, 0.0000), K at (0.0000, 0.3342, 0.0000), Hf at (0.0000, 0.1665, 0.5000), Te at (0.2291, 0.0000, 0.6936), Te at (0.2300, 0.3338, 0.6915) and Pd at (0.0000, 0.5000, 0.5000).

Its spin magnetization is 0.28 μB per formula unit. The formation energy from raw total energies is -912 kJ/mol of formula units. The value obtained for the total energy is -56.70 eV/f.u.



3.
Material: KHfZn2Pd
Method: DFT, PBE-GGA
State: optimized geometry

The space group is P4/mmm (No. 123) and the conventional cell measures 4.8803, 4.8803 and 5.2681 Å, with angles of 90.00, 90.00 and 90.00 degrees. Symmetry generates all atoms from K at (0.0000, 0.0000, 0.0000), Hf at (0.5000, 0.5000, 0.0000), Zn at (0.0000, 0.5000, 0.5000) and Pd at (0.0000, 0.0000, 0.5000).

Its spin magnetization is 0.00 μB per formula unit. Its formation energy is 0.828 eV per atom. The value obtained for the total energy is -14.65 eV/f.u.



4.
Material: K2Pm2HfS6
Method: DFT, PBE-GGA
State: optimized geometry

The space group is C2/m (No. 12) and the conventional cell measures 6.9765, 11.9189 and 7.8890 Å, with angles of 90.00, 107.36 and 90.00 degrees. Symmetry generates all atoms from K at (0.0000, 0.1701, 0.0000), Pm at (0.0000, 0.3338, 0.5000), Hf at (0.0000, 0.0000, 0.5000), S at (0.2202, 0.1547, 0.6959) and S at (0.2377, 0.0000, 0.3053).

Its spin magnetization is 0.00 μB per formula unit. The formation energy from raw total energies is -1895 kJ/mol of formula units. The value obtained for the total energy is -66.06 eV/f.u.



5.
Material: K3Pm2HfS6
Method: DFT, PBE-GGA
State: optimized geometry

The space group is C2/m (No. 12) and the conventional cell measures 6.9508, 12.0416 and 7.7583 Å, with angles of 90.00, 107.49 and 90.00 degrees. Symmetry generates all atoms from K at (0.0000, 0.0000, 0.0000), K at (0.0000, 0.3294, 0.0000), Pm at (0.0000, 0.1663, 0.5000), Hf at (0.0000, 0.5000, 0.5000), S at (0.2224, 0.3455, 0.7032) and S at (0.2403, 0.5000, 0.2965).

Its spin magnetization is 0.00 μB per formula unit. The formation energy from raw total energies is -1975 kJ/mol of formula units. The value obtained for the total energy is -67.98 eV/f.u.



6.
Material: K3Pm3HfS8
Method: DFT, PBE-GGA
State: optimized geometry

The space group is R-3m (No. 166, hexagonal axes) and the conventional cell measures 8.1083, 8.1083 and 22.5526 Å, with angles of 90.00, 90.00 and 120.00 degrees. Symmetry generates all atoms from K at (0.0000, 0.5000, 0.0000), Pm at (0.0000, 0.5000, 0.5000), Hf at (0.0000, 0.0000, 0.5000), S at (0.0000, 0.0000, 0.2355) and S at (0.0264, 0.5132, 0.2310).

Its spin magnetization is 0.00 μB per formula unit. The formation energy from raw total energies is -2618 kJ/mol of formula units. The value obtained for the total energy is -87.65 eV/f.u.



> Which of these has the lowest total energy?

K3Pm3HfS8



> spin magnetization of number 1 (K2HfTaPd)?

2.09 μB per formula unit



Repeat the first record exactly.
Material: K2HfTaPd
Method: DFT, PBE-GGA
State: optimized geometry

The space group is P4/mmm (No. 123) and the conventional cell measures 6.4269, 6.4269 and 4.9645 Å, with angles of 90.00, 90.00 and 90.00 degrees. Symmetry generates all atoms from K at (0.0000, 0.5000, 0.0000), Hf at (0.0000, 0.0000, 0.0000), Ta at (0.0000, 0.0000, 0.5000) and Pd at (0.5000, 0.5000, 0.5000).

Its spin magnetization is 2.09 μB per formula unit. Its formation energy is 1.887 eV per atom. The value obtained for the total energy is -19.76 eV/f.u.